A crystal of CdCuSe2O relaxed with PBEsol, computed with SCAN.

Calculated values
Total energy (eV per cell): -86.2
Formation energy (no corrections) (eV/atom): 1.16
M_tot (μB per cell): 2.58

Lattice parameters (Å, degrees): 4.8714 5.0612 5.0612 90.00 90.00 90.00
Last column: nearest neighbours and their distance in Å.
Positions (direct):
O  0.5000  0.5000  0.5000  8 Se 3.51, 4 Cu 3.58
Cu  0.5000  0.0000  0.0000  2 Cd 2.44
Se  0.0000  0.0000  0.5000  2 Cd 2.53
Se  0.0000  0.5000  0.0000  2 Cd 2.53
Cd  0.0000  0.0000  0.0000  2 Cu 2.44, 4 Se 2.53